Model P:
Entry from the Alexandria database: a relaxed ReNi2Cl crystal (PBEsol).

POSCAR file:
```
ReNi2Cl
1.0
2.698 0.000 0.000
0.000 3.885 0.000
-1.325 0.000 5.009
Re Ni Cl
1 2 1
direct
0.000 0.000 0.000 Re
0.588 0.500 0.179 Ni
0.716 0.000 0.445 Ni
0.842 0.500 0.677 Cl
```

Computed properties:
For the total magnetic moment, the calculation gives 0.00 μB per cell. As for the space-group type: Pm (6). The density of states at the Fermi level is 0.74 states/eV per atom.


Model Q:
Entry from the Alexandria database: a relaxed ReNi2Cl crystal (PBEsol).

POSCAR file:
```
ReNi2Cl
1.0
0.000 2.905 2.905
2.905 0.000 2.905
2.905 2.905 0.000
Re Ni Cl
1 2 1
direct
0.000 0.000 0.000 Re
0.250 0.250 0.250 Ni
0.500 0.500 0.500 Ni
0.750 0.750 0.750 Cl
```

Computed properties:
For the total magnetic moment, the calculation gives 0.00 μB per cell. As for the space-group type: F-43m (216). The density of states at the Fermi level is 0.65 states/eV per atom.


model P ends up most stable, edging out the next structure by 268 meV per atom.


Model P:
Entry from the Alexandria database: a relaxed NiRu2Cl crystal (PBEsol).

POSCAR file:
```
NiRu2Cl
1.0
1.368 -2.394 0.000
1.368 2.394 0.000
0.000 0.000 8.285
Ni Ru Cl
1 2 1
direct
0.000 0.000 0.000 Ni
0.000 0.000 0.511 Ru
0.500 0.500 0.252 Ru
0.500 0.500 0.770 Cl
```

Computed properties:
For the total magnetic moment, the calculation gives 1.44 μB per cell. As for the space-group type: Cmm2 (35). The density of states at the Fermi level is 1.46 states/eV per atom.


Model Q:
Entry from the Alexandria database: a relaxed NiRu2Cl crystal (PBEsol).

POSCAR file:
```
NiRu2Cl
1.0
0.000 2.983 2.983
2.983 0.000 2.983
2.983 2.983 0.000
Ni Ru Cl
1 2 1
direct
0.000 0.000 0.000 Ni
0.500 0.500 0.500 Ru
0.750 0.750 0.750 Ru
0.250 0.250 0.250 Cl
```

Computed properties:
For the total magnetic moment, the calculation gives 0.00 μB per cell. As for the space-group type: F-43m (216). The density of states at the Fermi level is 1.57 states/eV per atom.


Model R:
Entry from the Alexandria database: a relaxed NiRu2Cl crystal (PBEsol).

POSCAR file:
```
NiRu2Cl
1.0
4.254 0.000 0.000
0.000 4.254 0.000
0.000 0.000 2.799
Ni Ru Cl
1 2 1
direct
0.000 0.000 0.000 Ni
0.000 0.500 0.500 Ru
0.500 0.000 0.500 Ru
0.500 0.500 0.000 Cl
```

Computed properties:
For the total magnetic moment, the calculation gives 0.00 μB per cell. As for the space-group type: P4/mmm (123). The density of states at the Fermi level is 1.14 states/eV per atom.


model P ends up most stable, edging out the next structure by 153 meV per atom.